ZrTl2GaF6: relaxed, GGA-PBE.

a = 6.246 Å, b = 6.246 Å, c = 6.246 Å
α = 60.00°, β = 60.00°, γ = 60.00°
Element x y z (fractional)
Zr1 0.000 0.000 0.000
Tl1 0.250 0.250 0.250
Tl2 0.750 0.750 0.750
Ga1 0.500 0.500 0.500
F1 0.230 0.230 0.770
F2 0.230 0.770 0.230
F3 0.230 0.770 0.770
F4 0.770 0.230 0.230
F5 0.770 0.230 0.770
F6 0.770 0.770 0.230

Computed properties:
Crystal system: cubic
Uncorrected energy, eV per atom: -5.081